First-principles (PBE-GGA) data for ReTc2Cl after structural relaxation, as listed in Alexandria. Values from VASP.

Structure (Quantum ESPRESSO input):
```
&SYSTEM
  ibrav = 0, nat = 8, ntyp = 3
/
ATOMIC_SPECIES
Re 186.21 Re.upf
Tc 98.00 Tc.upf
Cl 35.45 Cl.upf
CELL_PARAMETERS angstrom
5.5545 0.0000 0.0000
0.0000 5.5545 0.0000
2.7772 2.7772 5.3092
ATOMIC_POSITIONS crystal
Re 0.0000 0.0000 0.0000
Re 0.7500 0.2500 0.5000
Tc 0.6167 0.1250 0.2500
Tc 0.1333 0.6250 0.2500
Tc 0.3750 0.3833 0.7500
Tc 0.8750 0.8667 0.7500
Cl 0.5000 0.5000 0.0000
Cl 0.2500 0.7500 0.5000
```

Summary:
uncorrected energy	-7.77	eV per atom
E_form (uncorrected)	987	meV/atom
polymorph energy (0 for the lowest one)	0.740	eV per atom

***

First-principles (PBE-GGA) data for ReTc2Cl after structural relaxation, as listed in Alexandria. Values from VASP.

Structure (Quantum ESPRESSO input):
```
&SYSTEM
  ibrav = 0, nat = 4, ntyp = 3
/
ATOMIC_SPECIES
Cl 35.45 Cl.upf
Re 186.21 Re.upf
Tc 98.00 Tc.upf
CELL_PARAMETERS angstrom
5.0722 0.0091 0.0000
2.3115 4.5149 0.0000
-3.6919 -2.2620 2.6422
ATOMIC_POSITIONS crystal
Cl 0.5000 0.5000 0.0000
Re 0.7500 0.2500 0.5000
Tc 0.0000 0.0000 0.0000
Tc 0.2500 0.7500 0.5000
```

Summary:
uncorrected energy	-7.61	eV per atom
E_form (uncorrected)	1143	meV/atom
polymorph energy (0 for the lowest one)	0.895	eV per atom

***

First-principles (PBE-GGA) data for ReTc2Cl after structural relaxation, as listed in Alexandria. Values from VASP.

Structure (Quantum ESPRESSO input):
```
&SYSTEM
  ibrav = 0, nat = 4, ntyp = 3
/
ATOMIC_SPECIES
Cl 35.45 Cl.upf
Re 186.21 Re.upf
Tc 98.00 Tc.upf
CELL_PARAMETERS angstrom
-1.0227 -3.3588 1.9162
2.4216 0.1187 1.5006
-1.1908 2.8837 4.4192
ATOMIC_POSITIONS crystal
Cl 0.0000 0.7029 0.4781
Re 0.5000 0.5625 0.7508
Tc 0.0000 0.9217 0.0281
Tc 0.5000 0.3129 0.2431
```

Summary:
uncorrected energy	-8.18	eV per atom
E_form (uncorrected)	573	meV/atom
polymorph energy (0 for the lowest one)	0.325	eV per atom

***

First-principles (PBE-GGA) data for ReTc2Cl after structural relaxation, as listed in Alexandria. Values from VASP.

Structure (Quantum ESPRESSO input):
```
&SYSTEM
  ibrav = 0, nat = 4, ntyp = 3
/
ATOMIC_SPECIES
Cl 35.45 Cl.upf
Re 186.21 Re.upf
Tc 98.00 Tc.upf
CELL_PARAMETERS angstrom
5.1667 -0.0025 -0.0020
2.4259 4.5618 0.0020
-3.2318 -3.2197 2.4257
ATOMIC_POSITIONS crystal
Cl 0.7500 0.2500 0.5000
Re 0.2500 0.7500 0.5000
Tc 0.9785 0.9785 0.0000
Tc 0.5215 0.5215 0.0000
```

Summary:
uncorrected energy	-8.05	eV per atom
E_form (uncorrected)	705	meV/atom
polymorph energy (0 for the lowest one)	0.458	eV per atom

***

First-principles (PBE-GGA) data for ReTc2Cl after structural relaxation, as listed in Alexandria. Values from VASP.

Structure (Quantum ESPRESSO input):
```
&SYSTEM
  ibrav = 0, nat = 4, ntyp = 3
/
ATOMIC_SPECIES
Cl 35.45 Cl.upf
Re 186.21 Re.upf
Tc 98.00 Tc.upf
CELL_PARAMETERS angstrom
4.9524 0.0351 -0.0076
-2.1001 4.4852 -0.0076
0.5370 0.8510 2.6986
ATOMIC_POSITIONS crystal
Cl 0.5000 0.0000 0.5000
Re 0.0000 0.5000 0.5000
Tc 0.0000 0.0000 0.0000
Tc 0.5000 0.5000 0.0000
```

Summary:
uncorrected energy	-7.81	eV per atom
E_form (uncorrected)	943	meV/atom
polymorph energy (0 for the lowest one)	0.696	eV per atom

***

First-principles (PBE-GGA) data for ReTc2Cl after structural relaxation, as listed in Alexandria. Values from VASP.

Structure (Quantum ESPRESSO input):
```
&SYSTEM
  ibrav = 0, nat = 4, ntyp = 3
/
ATOMIC_SPECIES
Cl 35.45 Cl.upf
Re 186.21 Re.upf
Tc 98.00 Tc.upf
CELL_PARAMETERS angstrom
4.3882 0.0000 0.0000
2.1941 3.8003 0.0000
2.1941 1.2668 3.5829
ATOMIC_POSITIONS crystal
Cl 0.5000 0.5000 0.5000
Re 0.7500 0.7500 0.7500
Tc 0.0000 0.0000 0.0000
Tc 0.2500 0.2500 0.2500
```

Summary:
uncorrected energy	-7.77	eV per atom
E_form (uncorrected)	987	meV/atom
polymorph energy (0 for the lowest one)	0.739	eV per atom

***

First-principles (PBE-GGA) data for ReTc2Cl after structural relaxation, as listed in Alexandria. Values from VASP.

Structure (Quantum ESPRESSO input):
```
&SYSTEM
  ibrav = 0, nat = 4, ntyp = 3
/
ATOMIC_SPECIES
Cl 35.45 Cl.upf
Re 186.21 Re.upf
Tc 98.00 Tc.upf
CELL_PARAMETERS angstrom
-0.4725 2.0063 1.9010
-0.8878 -2.6012 0.5553
7.7948 -1.8336 3.8726
ATOMIC_POSITIONS crystal
Cl 0.0000 0.0000 0.4907
Re 0.5000 0.5000 0.7565
Tc 0.0000 0.0000 0.0013
Tc 0.5000 0.5000 0.2515
```

Summary:
uncorrected energy	-8.13	eV per atom
E_form (uncorrected)	630	meV/atom
polymorph energy (0 for the lowest one)	0.382	eV per atom

***

First-principles (PBE-GGA) data for ReTc2Cl after structural relaxation, as listed in Alexandria. Values from VASP.

Structure (Quantum ESPRESSO input):
```
&SYSTEM
  ibrav = 0, nat = 4, ntyp = 3
/
ATOMIC_SPECIES
Cl 35.45 Cl.upf
Re 186.21 Re.upf
Tc 98.00 Tc.upf
CELL_PARAMETERS angstrom
-2.5964 1.0688 -0.2283
0.9860 -0.5889 2.5723
3.2891 8.1178 0.5977
ATOMIC_POSITIONS crystal
Cl 0.5000 0.5000 0.2500
Re 0.5000 0.5000 0.7500
Tc 0.0000 0.0000 0.0004
Tc 0.0000 0.0000 0.4996
```

Summary:
uncorrected energy	-8.21	eV per atom
E_form (uncorrected)	546	meV/atom
polymorph energy (0 for the lowest one)	0.299	eV per atom